# Er8Th4Sc

A geometry-optimized Er8Th4Sc structure (PBE, Alexandria via LeMat-Bulk).

The formation energy comes out at 239 kJ/mol of formula units. For the total energy, the calculation gives -5.387 eV per atom.

The structure belongs to space group R-3m (No. 166, hexagonal axes); the cell edges are 7.3244, 7.3244 and 26.0572 Å and the angles 90.00°, 90.00° and 120.00°. The asymmetric unit holds Er at (0.0000, 0.0000, 0.2206), Er at (0.0369, 0.5184, 0.7714), Th at (0.0000, 0.0000, 0.0000), Th at (0.0000, 0.5000, 0.0000) and Sc at (0.0000, 0.0000, 0.5000).